[1]
! LiNd2Sn2 (GGA-PBE, relaxed); values from VASP
! ΔH_f (0 K): -2.9 eV per formula unit
! Fermi-level density of states: 6.42 states/eV/cell
! Energy above the most stable polymorph in this dataset: 96 meV/atom
! VASP energy: -4.47 eV/atom
! Spin magnetization: 0.0 Bohr magnetons per cell
&SYSTEM
  ibrav = 0, nat = 10, ntyp = 3
/
ATOMIC_SPECIES
Li 6.94 Li.upf
Nd 144.24 Nd.upf
Sn 118.71 Sn.upf
ATOMIC_POSITIONS angstrom
Li 4.876 3.335 0.000
Li 1.625 3.335 0.000
Nd 3.250 1.905 4.779
Nd 0.000 1.430 1.804
Nd 3.250 5.241 1.804
Nd 0.000 -1.905 4.779
Sn 0.000 1.549 5.033
Sn 3.250 1.786 1.549
Sn 0.000 4.884 1.549
Sn 3.250 -1.549 5.033
CELL_PARAMETERS angstrom
6.501 0.000 0.000
0.000 6.670 0.000
-3.250 -3.335 6.583



[2]
! Li3NdSn2 (GGA-PBE, relaxed); values from VASP
! ΔH_f (0 K): -2.9 eV per formula unit
! Fermi-level density of states: 5.96 states/eV/cell
! VASP energy: -3.58 eV/atom
! Spin magnetization: 0.0 Bohr magnetons per cell
&SYSTEM
  ibrav = 0, nat = 12, ntyp = 3
/
ATOMIC_SPECIES
Li 6.94 Li.upf
Nd 144.24 Nd.upf
Sn 118.71 Sn.upf
ATOMIC_POSITIONS angstrom
Li -1.446 -0.881 3.914
Li -4.389 -0.588 4.940
Li -1.345 3.691 4.808
Li -2.744 -2.991 3.017
Li 0.300 1.287 2.885
Li -2.644 1.581 3.911
Nd -2.964 2.175 7.417
Nd -1.126 -1.475 0.408
Sn -2.163 -1.051 6.748
Sn -1.927 1.751 1.078
Sn -3.751 -0.515 2.155
Sn -0.339 1.214 5.670
CELL_PARAMETERS angstrom
-3.807 2.684 -0.802
-2.226 -6.951 1.232
1.943 4.966 7.395



[3]
! Li5Nd2Sn4 (GGA-PBE, relaxed); values from VASP
! ΔH_f (0 K): -4.0 eV per formula unit
! Fermi-level density of states: 7.00 states/eV/cell
! VASP energy: -3.56 eV/atom
! Spin magnetization: 0.7 Bohr magnetons per cell
&SYSTEM
  ibrav = 0, nat = 11, ntyp = 3
/
ATOMIC_SPECIES
Li 6.94 Li.upf
Nd 144.24 Nd.upf
Sn 118.71 Sn.upf
ATOMIC_POSITIONS angstrom
Li 3.113 0.000 0.000
Li 1.556 2.593 0.000
Li 4.669 2.593 0.000
Li 4.669 2.593 4.107
Li 7.782 2.593 4.107
Nd 6.226 0.000 2.769
Nd 3.113 0.000 5.444
Sn 6.226 1.468 5.927
Sn 6.226 3.718 2.286
Sn 3.113 1.468 2.286
Sn 9.338 3.718 5.927
CELL_PARAMETERS angstrom
6.226 0.000 0.000
3.113 5.186 0.000
3.113 0.000 8.213



[4]
! LiNd2Sn (GGA-PBE, relaxed); values from VASP
! ΔH_f (0 K): -0.3 eV per formula unit
! Fermi-level density of states: 8.77 states/eV/cell
! Energy above the most stable polymorph in this dataset: 376 meV/atom
! VASP energy: -3.93 eV/atom
! Spin magnetization: 0.0 Bohr magnetons per cell
&SYSTEM
  ibrav = 0, nat = 8, ntyp = 3
/
ATOMIC_SPECIES
Li 6.94 Li.upf
Nd 144.24 Nd.upf
Sn 118.71 Sn.upf
ATOMIC_POSITIONS angstrom
Li -3.346 -5.689 2.565
Li -5.258 -0.176 -0.725
Nd -2.470 -2.950 3.266
Nd -3.631 0.504 2.902
Nd -0.242 0.844 1.555
Nd -5.859 -3.290 4.613
Sn -3.184 -1.037 0.066
Sn -5.421 -4.827 1.774
CELL_PARAMETERS angstrom
-4.149 1.723 -1.582
-4.455 -7.588 3.422
2.504 3.419 4.328



[5]
! LiNd2Sn4 (GGA-PBE, relaxed); values from VASP
! ΔH_f (0 K): -3.1 eV per formula unit
! Fermi-level density of states: 4.24 states/eV/cell
! VASP energy: -4.36 eV/atom
! Spin magnetization: 0.0 Bohr magnetons per cell
&SYSTEM
  ibrav = 0, nat = 7, ntyp = 3
/
ATOMIC_SPECIES
Li 6.94 Li.upf
Nd 144.24 Nd.upf
Sn 118.71 Sn.upf
ATOMIC_POSITIONS angstrom
Li -3.204 0.052 -0.425
Nd -2.289 -5.535 4.292
Nd -1.561 -2.393 -0.818
Sn -1.894 -0.656 1.908
Sn -1.956 -7.272 1.565
Sn -3.527 -3.938 1.525
Sn -0.323 -3.990 1.949
CELL_PARAMETERS angstrom
-3.561 1.485 2.450
-2.846 -1.381 -3.299
-0.646 -7.980 3.898



[6]
! LiNd2Sn8 (GGA-PBE, relaxed); values from VASP
! ΔH_f (0 K): -4.3 eV per formula unit
! Fermi-level density of states: 5.65 states/eV/cell
! VASP energy: -4.34 eV/atom
! Spin magnetization: 0.0 Bohr magnetons per cell
&SYSTEM
  ibrav = 0, nat = 11, ntyp = 3
/
ATOMIC_SPECIES
Li 6.94 Li.upf
Nd 144.24 Nd.upf
Sn 118.71 Sn.upf
ATOMIC_POSITIONS angstrom
Li 0.000 0.000 0.000
Nd -3.391 0.306 2.587
Nd -7.172 0.647 5.471
Sn -6.411 -1.118 2.737
Sn -6.154 2.184 2.684
Sn -5.240 0.406 -0.167
Sn -9.326 0.774 2.950
Sn -2.484 -1.472 -0.258
Sn -2.227 1.830 -0.311
Sn -10.338 -0.764 5.732
Sn -10.080 2.538 5.679
CELL_PARAMETERS angstrom
-1.744 3.416 -2.690
-2.259 -3.188 -2.584
-10.563 0.952 8.058



[7]
! LiNd5Sn4 (GGA-PBE, relaxed); values from VASP
! ΔH_f (0 K): -4.1 eV per formula unit
! Fermi-level density of states: 10.02 states/eV/cell
! VASP energy: -4.58 eV/atom
! Spin magnetization: 0.0 Bohr magnetons per cell
&SYSTEM
  ibrav = 0, nat = 10, ntyp = 3
/
ATOMIC_SPECIES
Li 6.94 Li.upf
Nd 144.24 Nd.upf
Sn 118.71 Sn.upf
ATOMIC_POSITIONS angstrom
Li 2.135 0.000 0.000
Nd 2.135 4.994 6.243
Nd 2.135 1.072 5.852
Nd 0.000 7.542 3.962
Nd 2.135 4.299 0.715
Nd 0.000 3.619 3.571
Sn 0.000 7.256 7.172
Sn 2.135 6.682 9.263
Sn 2.135 1.358 2.642
Sn 0.000 1.931 0.551
CELL_PARAMETERS angstrom
4.269 0.000 0.000
0.000 8.598 1.430
-2.135 0.016 8.384



[8]
! LiNdSn (GGA-PBE, relaxed); values from VASP
! ΔH_f (0 K): -0.9 eV per formula unit
! Fermi-level density of states: 1.53 states/eV/cell
! VASP energy: -3.87 eV/atom
! Spin magnetization: 0.0 Bohr magnetons per cell
&SYSTEM
  ibrav = 0, nat = 3, ntyp = 3
/
ATOMIC_SPECIES
Nd 144.24 Nd.upf
Sn 118.71 Sn.upf
Li 6.94 Li.upf
ATOMIC_POSITIONS angstrom
Nd 1.846 -0.310 1.571
Sn -0.369 -2.742 1.676
Li 1.756 -3.098 3.484
CELL_PARAMETERS angstrom
-2.785 -1.093 3.058
0.315 -4.101 -1.178
4.589 2.034 1.914



[9]
! LiNd2Sn (GGA-PBE, relaxed); values from VASP
! ΔH_f (0 K): -1.8 eV per formula unit
! Fermi-level density of states: 3.01 states/eV/cell
! Energy above the most stable polymorph in this dataset: 0 meV/atom
! VASP energy: -4.31 eV/atom
! Spin magnetization: 0.0 Bohr magnetons per cell
&SYSTEM
  ibrav = 0, nat = 4, ntyp = 3
/
ATOMIC_SPECIES
Nd 144.24 Nd.upf
Sn 118.71 Sn.upf
Li 6.94 Li.upf
ATOMIC_POSITIONS angstrom
Nd 0.205 -2.617 2.004
Nd 0.615 -7.852 6.012
Sn 0.410 -5.235 4.008
Li 0.000 0.000 0.000
CELL_PARAMETERS angstrom
-0.981 -1.820 4.982
-1.562 -5.108 0.746
3.363 -3.542 2.288



[10]
! Li2Nd2Sn3 (GGA-PBE, relaxed); values from VASP
! ΔH_f (0 K): -4.5 eV per formula unit
! Fermi-level density of states: 2.62 states/eV/cell
! VASP energy: -4.27 eV/atom
! Spin magnetization: 0.0 Bohr magnetons per cell
&SYSTEM
  ibrav = 0, nat = 14, ntyp = 3
/
ATOMIC_SPECIES
Li 6.94 Li.upf
Nd 144.24 Nd.upf
Sn 118.71 Sn.upf
ATOMIC_POSITIONS angstrom
Li 3.192 6.930 3.263
Li 1.417 0.462 5.944
Li 1.417 3.234 5.944
Li 3.192 4.157 3.263
Nd 0.735 1.848 3.083
Nd 3.874 5.543 6.124
Nd 4.378 1.848 8.237
Nd 0.231 5.543 0.970
Sn 1.024 5.543 4.293
Sn 3.586 1.848 4.914
Sn 2.602 3.293 0.785
Sn 2.008 4.098 8.422
Sn 2.008 6.989 8.422
Sn 2.602 0.402 0.785
CELL_PARAMETERS angstrom
4.569 0.000 -1.089
0.000 7.391 0.000
0.040 0.000 10.296



[11]
! Li2NdSn2 (GGA-PBE, relaxed); values from VASP
! ΔH_f (0 K): -2.7 eV per formula unit
! Fermi-level density of states: 1.59 states/eV/cell
! Energy above the most stable polymorph in this dataset: 0 meV/atom
! VASP energy: -3.86 eV/atom
! Spin magnetization: 0.0 Bohr magnetons per cell
&SYSTEM
  ibrav = 0, nat = 5, ntyp = 3
/
ATOMIC_SPECIES
Li 6.94 Li.upf
Nd 144.24 Nd.upf
Sn 118.71 Sn.upf
ATOMIC_POSITIONS angstrom
Li 3.054 1.157 1.926
Li 0.720 3.186 1.926
Nd 0.000 0.000 0.000
Sn 2.222 2.557 -0.303
Sn 1.552 1.786 4.154
CELL_PARAMETERS angstrom
4.098 0.000 -1.531
-0.572 4.057 -1.531
0.248 0.286 6.913



[12]
! Li4NdSn (GGA-PBE, relaxed); values from VASP
! ΔH_f (0 K): -1.0 eV per formula unit
! Fermi-level density of states: 3.86 states/eV/cell
! VASP energy: -2.90 eV/atom
! Spin magnetization: 0.0 Bohr magnetons per cell
&SYSTEM
  ibrav = 0, nat = 6, ntyp = 3
/
ATOMIC_SPECIES
Nd 144.24 Nd.upf
Sn 118.71 Sn.upf
Li 6.94 Li.upf
ATOMIC_POSITIONS angstrom
Nd 2.788 1.610 1.138
Sn 0.000 0.000 0.000
Li 5.576 3.219 0.557
Li 5.576 1.598 2.849
Li 6.980 4.030 2.849
Li 4.172 4.030 2.849
CELL_PARAMETERS angstrom
5.576 0.000 0.000
2.788 4.829 0.000
2.788 1.610 4.553



[13]
! Li2NdSn2 (GGA-PBE, relaxed); values from VASP
! ΔH_f (0 K): -2.6 eV per formula unit
! Fermi-level density of states: 4.64 states/eV/cell
! Energy above the most stable polymorph in this dataset: 29 meV/atom
! VASP energy: -3.83 eV/atom
! Spin magnetization: 0.0 Bohr magnetons per cell
&SYSTEM
  ibrav = 0, nat = 10, ntyp = 3
/
ATOMIC_SPECIES
Li 6.94 Li.upf
Nd 144.24 Nd.upf
Sn 118.71 Sn.upf
ATOMIC_POSITIONS angstrom
Li 0.340 -7.806 -0.370
Li 0.389 -4.619 2.653
Li -1.167 -0.751 0.812
Li 1.896 -11.674 1.471
Nd -1.776 -4.114 0.007
Nd 2.505 -8.311 2.275
Sn 1.599 -10.011 -0.597
Sn -0.870 -2.414 2.879
Sn 1.532 -5.461 0.330
Sn -0.803 -6.964 1.953
CELL_PARAMETERS angstrom
-0.796 -0.904 4.382
-3.869 -2.097 -1.135
5.393 -9.424 -0.965



[14]
! Li4NdSn2 (GGA-PBE, relaxed); values from VASP
! ΔH_f (0 K): -3.3 eV per formula unit
! Fermi-level density of states: 5.79 states/eV/cell
! VASP energy: -3.39 eV/atom
! Spin magnetization: 0.0 Bohr magnetons per cell
&SYSTEM
  ibrav = 0, nat = 14, ntyp = 3
/
ATOMIC_SPECIES
Li 6.94 Li.upf
Nd 144.24 Nd.upf
Sn 118.71 Sn.upf
ATOMIC_POSITIONS angstrom
Li 0.000 0.856 2.853
Li 0.000 7.221 5.224
Li 2.340 1.185 4.894
Li 2.340 6.892 3.183
Li 2.340 3.183 6.892
Li 2.340 4.894 1.185
Li 0.000 2.853 0.856
Li 0.000 5.224 7.221
Nd 2.340 0.000 0.000
Nd 0.000 4.039 4.039
Sn 0.000 1.696 6.381
Sn 0.000 6.381 1.696
Sn 2.340 5.734 5.734
Sn 2.340 2.343 2.343
CELL_PARAMETERS angstrom
4.680 0.000 0.000
0.000 8.077 0.000
0.000 0.000 8.077



[15]
! Li2Nd5Sn5 (GGA-PBE, relaxed); values from VASP
! ΔH_f (0 K): -6.5 eV per formula unit
! Fermi-level density of states: 6.30 states/eV/cell
! VASP energy: -4.52 eV/atom
! Spin magnetization: 0.0 Bohr magnetons per cell
&SYSTEM
  ibrav = 0, nat = 12, ntyp = 3
/
ATOMIC_SPECIES
Li 6.94 Li.upf
Nd 144.24 Nd.upf
Sn 118.71 Sn.upf
ATOMIC_POSITIONS angstrom
Li 0.000 -2.895 9.539
Li 2.365 4.214 2.033
Nd 2.365 -2.344 6.328
Nd 2.365 1.929 -0.201
Nd 2.365 0.674 3.093
Nd 0.000 0.645 8.479
Nd 0.000 -0.609 11.773
Sn 0.000 -0.166 5.300
Sn 2.365 -1.537 9.489
Sn 0.000 2.857 2.083
Sn 2.365 1.485 6.272
Sn 0.000 0.000 0.000
CELL_PARAMETERS angstrom
4.730 0.000 0.000
-2.365 6.007 -1.085
0.000 -4.688 12.657



[16]
! LiNd4Sn4 (GGA-PBE, relaxed); values from VASP
! ΔH_f (0 K): -5.4 eV per formula unit
! Fermi-level density of states: 11.44 states/eV/cell
! VASP energy: -4.71 eV/atom
! Spin magnetization: 0.0 Bohr magnetons per cell
&SYSTEM
  ibrav = 0, nat = 18, ntyp = 3
/
ATOMIC_SPECIES
Li 6.94 Li.upf
Nd 144.24 Nd.upf
Sn 118.71 Sn.upf
ATOMIC_POSITIONS angstrom
Li 0.000 0.000 0.000
Li 2.812 4.382 4.837
Nd 0.236 7.945 4.081
Nd 2.524 6.349 7.560
Nd 5.743 1.219 3.693
Nd 0.776 5.056 2.235
Nd 5.911 6.797 6.950
Nd 5.666 4.630 3.060
Nd 2.281 1.493 6.492
Nd -0.643 1.566 4.623
Sn 4.921 3.735 6.179
Sn 0.328 4.605 5.504
Sn 6.259 7.604 3.856
Sn -0.489 7.074 7.091
Sn 5.315 0.791 6.852
Sn 2.649 2.322 3.288
Sn 3.350 6.865 4.376
Sn 0.163 2.060 1.548
CELL_PARAMETERS angstrom
-1.173 -1.323 6.278
8.597 1.467 1.916
-1.800 8.620 1.480



[17]
! LiNd2Sn2 (GGA-PBE, relaxed); values from VASP
! ΔH_f (0 K): -3.4 eV per formula unit
! Fermi-level density of states: 6.42 states/eV/cell
! Energy above the most stable polymorph in this dataset: 0 meV/atom
! VASP energy: -4.56 eV/atom
! Spin magnetization: 1.1 Bohr magnetons per cell
&SYSTEM
  ibrav = 0, nat = 10, ntyp = 3
/
ATOMIC_SPECIES
Li 6.94 Li.upf
Nd 144.24 Nd.upf
Sn 118.71 Sn.upf
ATOMIC_POSITIONS angstrom
Li 3.108 0.219 7.281
Li 3.766 5.150 4.504
Nd 3.814 1.633 4.302
Nd 4.795 1.189 10.360
Nd 3.060 3.736 7.482
Nd 2.079 4.180 1.424
Sn 0.968 1.426 6.112
Sn 4.864 4.490 10.071
Sn 5.906 3.944 5.672
Sn 2.011 0.879 1.714
CELL_PARAMETERS angstrom
4.577 0.000 1.085
2.305 5.806 0.471
-0.007 -0.437 10.229



[18]
! LiNdSn (GGA-PBE, relaxed); values from VASP
! ΔH_f (0 K): -1.6 eV per formula unit
! Fermi-level density of states: 7.21 states/eV/cell
! VASP energy: -4.10 eV/atom
! Spin magnetization: 0.0 Bohr magnetons per cell
&SYSTEM
  ibrav = 0, nat = 18, ntyp = 3
/
ATOMIC_SPECIES
Nd 144.24 Nd.upf
Sn 118.71 Sn.upf
Li 6.94 Li.upf
ATOMIC_POSITIONS angstrom
Nd 4.205 -10.118 7.526
Nd -3.488 -4.035 -1.314
Nd 1.755 -6.158 3.908
Nd -1.038 -7.996 2.304
Nd 0.860 -2.848 1.848
Nd -0.143 -11.306 4.364
Sn -1.071 -0.463 2.490
Sn -1.095 -12.322 7.173
Sn 0.599 -3.163 4.956
Sn -2.765 -9.622 4.707
Sn -1.310 -5.049 0.908
Sn 2.027 -9.105 5.304
Li -2.798 -2.714 1.940
Li 0.632 -10.072 7.723
Li -1.507 -4.800 3.846
Li -0.659 -7.985 5.817
Li -3.806 -5.434 2.176
Li 1.640 -7.351 7.486
CELL_PARAMETERS angstrom
-2.883 1.368 3.450
-4.939 -5.010 -2.140
5.656 -9.143 8.352



[19]
! Li3Nd2Sn4 (GGA-PBE, relaxed); values from VASP
! ΔH_f (0 K): -4.9 eV per formula unit
! Fermi-level density of states: 8.46 states/eV/cell
! VASP energy: -4.02 eV/atom
! Spin magnetization: 0.0 Bohr magnetons per cell
&SYSTEM
  ibrav = 0, nat = 18, ntyp = 3
/
ATOMIC_SPECIES
Li 6.94 Li.upf
Nd 144.24 Nd.upf
Sn 118.71 Sn.upf
ATOMIC_POSITIONS angstrom
Li 0.000 0.000 0.000
Li 3.172 4.083 0.000
Li 1.586 6.125 4.424
Li 4.758 2.042 3.718
Li 1.586 2.042 3.718
Li -1.586 6.125 4.424
Nd 0.000 4.878 1.755
Nd 3.172 3.289 6.387
Nd 0.000 0.795 6.387
Nd 3.172 7.372 1.755
Sn 1.586 6.125 7.222
Sn 4.758 2.042 0.920
Sn 1.586 2.042 0.920
Sn -1.586 6.125 7.222
Sn 0.000 8.023 2.891
Sn 3.172 0.144 5.251
Sn 0.000 3.940 5.251
Sn 3.172 4.227 2.891
CELL_PARAMETERS angstrom
6.344 0.000 0.000
0.000 8.166 0.000
-3.172 0.000 8.142



[20]
! LiNdSn (GGA-PBE, relaxed); values from VASP
! ΔH_f (0 K): -2.0 eV per formula unit
! Fermi-level density of states: 1.89 states/eV/cell
! VASP energy: -4.22 eV/atom
! Spin magnetization: 0.0 Bohr magnetons per cell
&SYSTEM
  ibrav = 0, nat = 6, ntyp = 3
/
ATOMIC_SPECIES
Li 6.94 Li.upf
Nd 144.24 Nd.upf
Sn 118.71 Sn.upf
ATOMIC_POSITIONS angstrom
Li -1.195 3.451 1.923
Li 3.585 0.688 5.768
Nd 1.195 2.070 0.000
Nd 1.195 2.070 3.846
Sn 3.585 0.691 1.923
Sn -1.195 3.448 5.768
CELL_PARAMETERS angstrom
4.779 0.000 0.000
-2.390 4.140 0.000
0.000 0.000 7.691



[21]
! Li4NdSn4 (GGA-PBE, relaxed); values from VASP
! ΔH_f (0 K): -3.3 eV per formula unit
! Fermi-level density of states: 5.87 states/eV/cell
! VASP energy: -3.53 eV/atom
! Spin magnetization: 0.0 Bohr magnetons per cell
&SYSTEM
  ibrav = 0, nat = 18, ntyp = 3
/
ATOMIC_SPECIES
Li 6.94 Li.upf
Nd 144.24 Nd.upf
Sn 118.71 Sn.upf
ATOMIC_POSITIONS angstrom
Li -5.861 -7.106 1.874
Li -8.928 -5.592 0.899
Li -3.529 -2.261 -4.429
Li -3.321 -0.052 -1.650
Li -2.266 -5.584 -1.545
Li -2.089 -3.701 0.823
Li -4.302 -2.864 2.599
Li -6.916 -1.574 1.769
Nd 0.000 0.000 0.000
Nd -5.410 -3.753 -0.826
Sn -6.887 -6.692 -0.744
Sn -6.671 -4.395 2.144
Sn -5.634 -1.175 -2.859
Sn -2.447 -2.749 -1.846
Sn -2.963 -1.004 1.020
Sn -5.456 0.227 0.228
Sn -3.493 -5.575 2.329
Sn -3.662 -7.371 0.070
CELL_PARAMETERS angstrom
-5.680 2.805 -1.805
-0.385 -4.092 -5.147
-4.754 -6.218 5.299